# 1
AlCd2HgO4 after structural relaxation. Source: Alexandria via LeMat-Bulk, functional GGA-PBE.

Geometry as POSCAR:
```
AlCd2HgO4
1.0
-3.9550 0.0092 3.4059
-1.7330 -4.4954 -2.0076
5.4140 -0.0832 2.2916
Al Cd Hg O
1 2 1 4
Direct
0.4999 0.4999 0.9999
0.7500 0.2500 0.5001
0.2500 0.7500 0.5001
0.0004 0.0004 0.0008
0.5786 0.5786 0.7661
0.4216 0.8121 0.2337
0.8121 0.4216 0.2337
0.1876 0.1876 0.7661
```

- Mass density: 6875 kg/m3
- Crystal system: tetragonal
- Formation energy without anion corrections: -11.17 eV/f.u.

# 2
AlCd2HgP after structural relaxation. Source: Alexandria via LeMat-Bulk, functional GGA-PBE.

Geometry as POSCAR:
```
AlCd2HgP
1.0
5.1537 0.0000 0.0000
0.0000 4.9169 0.0000
0.0000 0.0000 5.1537
P Al Hg Cd
1 1 1 2
Direct
0.0000 0.0000 0.0000
0.0000 0.5000 0.0000
0.5000 0.5000 0.5000
0.0000 0.0000 0.5000
0.5000 0.0000 0.0000
```

- Mass density: 6146 kg/m3
- Crystal system: tetragonal
- DFT formation energy: 0.321 eV per atom

# 3
PaAlCdHg after structural relaxation. Source: Alexandria via LeMat-Bulk, functional GGA-PBE.

Geometry as POSCAR:
```
PaAlCdHg
1.0
-1.5238 -4.5352 -1.5842
0.8061 -1.4039 -4.7727
3.3939 -3.5791 -1.0349
Al Pa Hg Cd
1 1 1 1
Direct
0.0000 0.0000 0.0000
0.2500 0.2500 0.2500
0.5000 0.5000 0.5000
0.7500 0.7500 0.7500
```

- Mass density: 10476 kg/m3
- Crystal system: cubic
- DFT formation energy: 0.083 eV per atom

# 4
Pm4Al2CdHg after structural relaxation. Source: Alexandria via LeMat-Bulk, functional GGA-PBE.

Geometry as POSCAR:
```
Pm4Al2CdHg
1.0
-0.2682 -4.5760 2.7411
3.5685 -1.0264 3.8390
-4.1123 1.9521 8.0597
Pm Al Cd Hg
4 2 1 1
Direct
0.3759 0.3759 0.8723
0.8741 0.8741 0.3776
0.1259 0.1259 0.6224
0.6241 0.6241 0.1277
0.7482 0.7482 0.7553
0.2518 0.2518 0.2447
0.0000 0.0000 0.0000
0.5000 0.5000 0.5000
```

- Mass density: 7293 kg/m3
- Crystal system: trigonal
- DFT formation energy: -0.366 eV per atom

# 5
PmAlCdHg after structural relaxation. Source: Alexandria via LeMat-Bulk, functional GGA-PBE.

Geometry as POSCAR:
```
PmAlCdHg
1.0
5.1098 0.0000 0.0000
2.5549 4.4252 0.0000
2.5549 1.4751 4.1721
Al Cd Hg Pm
1 1 1 1
Direct
0.0000 0.0000 0.0000
0.7500 0.7500 0.7500
0.5000 0.5000 0.5000
0.2500 0.2500 0.2500
```

- Mass density: 8537 kg/m3
- Crystal system: cubic
- DFT formation energy: -0.258 eV per atom

# 6
PrAlCdHg after structural relaxation. Source: Alexandria via LeMat-Bulk, functional GGA-PBE.

Geometry as POSCAR:
```
PrAlCdHg
1.0
-4.7998 0.8258 -1.6802
-1.6785 -2.3573 -4.2625
-3.5284 -3.7384 0.3434
Pr Al Hg Cd
1 1 1 1
Direct
0.2500 0.2500 0.2500
0.5000 0.5000 0.5000
0.0000 0.0000 0.0000
0.7500 0.7500 0.7500
```

- Mass density: 8258 kg/m3
- Crystal system: cubic
- DFT formation energy: -0.258 eV per atom